1.
The following is a PBE calculation of crystalline YHPd3 at its relaxed geometry, from the Alexandria database.

```
data_YHPd3
_chemical_formula_sum 'Y8 H8 Pd24'
_cell_length_a 11.7938
_cell_length_b 10.4645
_cell_length_c 4.8672
_cell_angle_alpha 90.00
_cell_angle_beta 90.42
_cell_angle_gamma 90.00
_space_group_name_H-M_alt 'C 1 2/c 1'
_space_group_IT_number 15
loop_
_space_group_symop_operation_xyz
'x,y,z'
'-x,-y,-z'
'-x,y,-z+1/2'
'x,-y,z+1/2'
'x+1/2,y+1/2,z'
'-x+1/2,-y+1/2,-z'
'-x+1/2,y+1/2,-z+1/2'
'x+1/2,-y+1/2,z+1/2'
loop_
_atom_site_label
_atom_site_fract_x
_atom_site_fract_y
_atom_site_fract_z
Y1 0.0000 0.1358 0.2500
Y2 0.0000 0.3603 0.7500
H1 0.1569 0.2737 0.4610
Pd1 0.1308 0.0894 0.7543
Pd2 0.1340 0.4138 0.2437
Pd3 0.2493 0.1633 0.2482
```

- distance to the lowest polymorph of the same formula (meV per atom) = 203



2.
The following is a PBE calculation of crystalline YH4Pd at its relaxed geometry, from the Alexandria database.

```
data_YH4Pd
_chemical_formula_sum 'Y2 H8 Pd2'
_cell_length_a 7.4743
_cell_length_b 4.6513
_cell_length_c 3.9053
_cell_angle_alpha 90.00
_cell_angle_beta 120.51
_cell_angle_gamma 90.00
_space_group_name_H-M_alt 'C 1 2/m 1'
_space_group_IT_number 12
loop_
_space_group_symop_operation_xyz
'x,y,z'
'-x,-y,-z'
'-x,y,-z'
'x,-y,z'
'x+1/2,y+1/2,z'
'-x+1/2,-y+1/2,-z'
'-x+1/2,y+1/2,-z'
'x+1/2,-y+1/2,z'
loop_
_atom_site_label
_atom_site_fract_x
_atom_site_fract_y
_atom_site_fract_z
Y1 0.0000 0.0000 0.0000
H1 0.1755 0.2309 0.6792
Pd1 0.0000 0.5000 0.5000
```

- total DFT energy (no corrections) (eV per formula unit) = -27.25



3.
The following is a PBE calculation of crystalline YHPd3 at its relaxed geometry, from the Alexandria database.

```
data_YHPd3
_chemical_formula_sum 'Y2 H2 Pd6'
_cell_length_a 4.1627
_cell_length_b 5.9565
_cell_length_c 6.0015
_cell_angle_alpha 90.00
_cell_angle_beta 90.45
_cell_angle_gamma 90.00
_space_group_name_H-M_alt 'P 1 2/m 1'
_space_group_IT_number 10
loop_
_space_group_symop_operation_xyz
'x,y,z'
'-x,-y,-z'
'-x,y,-z'
'x,-y,z'
loop_
_atom_site_label
_atom_site_fract_x
_atom_site_fract_y
_atom_site_fract_z
Y1 0.0000 0.0000 0.0000
Y2 0.0000 0.5000 0.5000
H1 0.3492 0.0000 0.6742
Pd1 0.0000 0.0000 0.5000
Pd2 0.0000 0.5000 0.0000
Pd3 0.4956 0.2654 0.2420
```

- distance to the lowest polymorph of the same formula (meV per atom) = 25



4.
The following is a PBE calculation of crystalline YHPd3 at its relaxed geometry, from the Alexandria database.

```
data_YHPd3
_chemical_formula_sum 'Y6 H6 Pd18'
_cell_length_a 5.9215
_cell_length_b 5.9215
_cell_length_c 14.6786
_cell_angle_alpha 90.00
_cell_angle_beta 90.00
_cell_angle_gamma 120.00
_space_group_name_H-M_alt 'R -3 m'
_space_group_IT_number 166
_space_group_name_Hall '-R 3 2"'
loop_
_atom_site_label
_atom_site_fract_x
_atom_site_fract_y
_atom_site_fract_z
Y1 0.0000 0.0000 0.2494
H1 0.0000 0.0000 0.0821
Pd1 0.0149 0.5075 0.2492
```

- distance to the lowest polymorph of the same formula (meV per atom) = 23



5.
The following is a PBE calculation of crystalline YHPd3 at its relaxed geometry, from the Alexandria database.

```
data_YHPd3
_chemical_formula_sum 'Y2 H2 Pd6'
_cell_length_a 5.1913
_cell_length_b 5.8460
_cell_length_c 5.1973
_cell_angle_alpha 90.00
_cell_angle_beta 111.51
_cell_angle_gamma 90.00
_space_group_name_H-M_alt 'P 1 21 1'
_space_group_IT_number 4
loop_
_space_group_symop_operation_xyz
'x,y,z'
'-x,y+1/2,-z'
loop_
_atom_site_label
_atom_site_fract_x
_atom_site_fract_y
_atom_site_fract_z
Y1 0.2459 0.0000 0.2546
H1 0.4435 0.5144 0.0295
Pd1 0.2439 0.4999 0.2566
Pd2 0.2471 0.7495 0.7491
Pd3 0.2499 0.2492 0.7493
```

- distance to the lowest polymorph of the same formula (meV per atom) = 42



6.
The following is a PBE calculation of crystalline YH6Pd5 at its relaxed geometry, from the Alexandria database.

```
data_YH6Pd5
_chemical_formula_sum 'Y1 H6 Pd5'
_cell_length_a 4.4498
_cell_length_b 5.5002
_cell_length_c 6.2461
_cell_angle_alpha 102.81
_cell_angle_beta 106.31
_cell_angle_gamma 112.78
_space_group_name_H-M_alt 'P -1'
_space_group_IT_number 2
loop_
_space_group_symop_operation_xyz
'x,y,z'
'-x,-y,-z'
loop_
_atom_site_label
_atom_site_fract_x
_atom_site_fract_y
_atom_site_fract_z
Y1 0.0000 0.0000 0.0000
H1 0.1428 0.2499 0.5631
H2 0.2399 0.7141 0.1308
H3 0.4213 0.7416 0.7036
Pd1 0.1736 0.5108 0.8368
Pd2 0.3199 0.0158 0.6583
Pd3 0.5000 0.5000 0.5000
```

- total DFT energy (no corrections) (eV per formula unit) = -56.49



7.
The following is a PBE calculation of crystalline YHPd3 at its relaxed geometry, from the Alexandria database.

```
data_YHPd3
_chemical_formula_sum 'Y4 H4 Pd12'
_cell_length_a 8.6909
_cell_length_b 4.0614
_cell_length_c 9.5196
_cell_angle_alpha 90.00
_cell_angle_beta 116.91
_cell_angle_gamma 90.00
_space_group_name_H-M_alt 'P 1 21/c 1'
_space_group_IT_number 14
loop_
_space_group_symop_operation_xyz
'x,y,z'
'-x,-y,-z'
'-x,y+1/2,-z+1/2'
'x,-y+1/2,z+1/2'
loop_
_atom_site_label
_atom_site_fract_x
_atom_site_fract_y
_atom_site_fract_z
Y1 0.2008 0.0000 0.1407
H1 0.4976 0.0050 0.8373
Pd1 0.0589 0.0000 0.3740
Pd2 0.3095 0.0000 0.8837
Pd3 0.4408 0.9999 0.6234
```

- distance to the lowest polymorph of the same formula (meV per atom) = 179



8.
The following is a PBE calculation of crystalline YH4Pd2 at its relaxed geometry, from the Alexandria database.

```
data_YH4Pd2
_chemical_formula_sum 'Y4 H16 Pd8'
_cell_length_a 3.4456
_cell_length_b 9.5758
_cell_length_c 8.4637
_cell_angle_alpha 90.00
_cell_angle_beta 90.00
_cell_angle_gamma 90.00
_space_group_name_H-M_alt 'C m c m'
_space_group_IT_number 63
_space_group_name_Hall '-C 2c 2'
loop_
_atom_site_label
_atom_site_fract_x
_atom_site_fract_y
_atom_site_fract_z
Y1 0.0000 0.0899 0.2500
H1 0.0000 0.0000 0.0000
H2 0.0000 0.2594 0.6134
H3 0.0000 0.4400 0.2500
Pd1 0.0000 0.3602 0.0584
```

- total DFT energy (no corrections) (eV per formula unit) = -32.80



9.
The following is a PBE calculation of crystalline YH3Pd at its relaxed geometry, from the Alexandria database.

```
data_YH3Pd
_chemical_formula_sum 'Y1 H3 Pd1'
_cell_length_a 4.0095
_cell_length_b 4.0095
_cell_length_c 4.0095
_cell_angle_alpha 90.00
_cell_angle_beta 90.00
_cell_angle_gamma 90.00
_space_group_name_H-M_alt 'P m -3 m'
_space_group_IT_number 221
_space_group_name_Hall '-P 4 2 3'
loop_
_atom_site_label
_atom_site_fract_x
_atom_site_fract_y
_atom_site_fract_z
Y1 0.0000 0.0000 0.0000
H1 0.0000 0.0000 0.5000
Pd1 0.5000 0.5000 0.5000
```

- total DFT energy (no corrections) (eV per formula unit) = -21.37



10.
The following is a PBE calculation of crystalline YHPd3 at its relaxed geometry, from the Alexandria database.

```
data_YHPd3
_chemical_formula_sum 'Y4 H4 Pd12'
_cell_length_a 14.7978
_cell_length_b 3.9208
_cell_length_c 5.9442
_cell_angle_alpha 90.00
_cell_angle_beta 96.35
_cell_angle_gamma 90.00
_space_group_name_H-M_alt 'C 1 2/m 1'
_space_group_IT_number 12
loop_
_space_group_symop_operation_xyz
'x,y,z'
'-x,-y,-z'
'-x,y,-z'
'x,-y,z'
'x+1/2,y+1/2,z'
'-x+1/2,-y+1/2,-z'
'-x+1/2,y+1/2,-z'
'x+1/2,-y+1/2,z'
loop_
_atom_site_label
_atom_site_fract_x
_atom_site_fract_y
_atom_site_fract_z
Y1 0.1175 0.0000 0.2145
H1 0.0621 0.5000 0.7322
Pd1 0.0631 0.0000 0.7105
Pd2 0.1766 0.5000 0.9011
Pd3 0.2496 0.0000 0.6546
```

- distance to the lowest polymorph of the same formula (meV per atom) = 346



11.
The following is a PBE calculation of crystalline YHPd at its relaxed geometry, from the Alexandria database.

```
data_YHPd
_chemical_formula_sum 'Y2 H2 Pd2'
_cell_length_a 3.6501
_cell_length_b 3.6501
_cell_length_c 7.0048
_cell_angle_alpha 90.00
_cell_angle_beta 90.00
_cell_angle_gamma 90.00
_space_group_name_H-M_alt 'P 4/n m m'
_space_group_IT_number 129
loop_
_space_group_symop_operation_xyz
'x,y,z'
'-x,-y,-z'
'-y+1/2,x,z'
'y+1/2,-x,-z'
'-x+1/2,-y+1/2,z'
'x+1/2,y+1/2,-z'
'y,-x+1/2,z'
'-y,x+1/2,-z'
'x+1/2,-y,-z'
'-x+1/2,y,z'
'-y,-x,-z'
'y,x,z'
'-x,y+1/2,-z'
'x,-y+1/2,z'
'y+1/2,x+1/2,-z'
'-y+1/2,-x+1/2,z'
loop_
_atom_site_label
_atom_site_fract_x
_atom_site_fract_y
_atom_site_fract_z
Y1 0.2500 0.2500 0.1862
H1 0.2500 0.7500 0.0000
Pd1 0.2500 0.2500 0.6037
```

- total DFT energy (no corrections) (eV per formula unit) = -17.18



12.
The following is a PBE calculation of crystalline YHPd3 at its relaxed geometry, from the Alexandria database.

```
data_YHPd3
_chemical_formula_sum 'Y2 H2 Pd6'
_cell_length_a 4.9129
_cell_length_b 5.9053
_cell_length_c 5.2039
_cell_angle_alpha 90.00
_cell_angle_beta 90.35
_cell_angle_gamma 90.00
_space_group_name_H-M_alt 'P 1 21/m 1'
_space_group_IT_number 11
loop_
_space_group_symop_operation_xyz
'x,y,z'
'-x,-y,-z'
'-x,y+1/2,-z'
'x,-y+1/2,z'
loop_
_atom_site_label
_atom_site_fract_x
_atom_site_fract_y
_atom_site_fract_z
Y1 0.2397 0.2500 0.1652
H1 0.0835 0.2500 0.7281
Pd1 0.2574 0.5089 0.6646
Pd2 0.2708 0.7500 0.1918
```

- distance to the lowest polymorph of the same formula (meV per atom) = 93



The evaluated V for the records listed, in turn: 15.0, 9.7, 14.9, 14.9, 14.7, 10.5, 15.0, 10.0, 12.9, 17.1, 15.6, 15.1 Å³/atom.